{"formula": "ThGePt3", "functional": "GGA-PBE", "state": "optimized geometry", "lattice": [[6.380, 0.000, 0.000], [-3.190, 5.525, 0.000], [0.000, 0.000, 5.603]], "species": ["Th", "Th", "Ge", "Ge", "Pt", "Pt", "Pt", "Pt", "Pt", "Pt"], "frac_coords": [[0.333, 0.667, 0.250], [0.667, 0.333, 0.750], [0.000, 0.000, 0.000], [0.000, 0.000, 0.500], [0.192, 0.384, 0.750], [0.192, 0.808, 0.750], [0.384, 0.192, 0.250], [0.616, 0.808, 0.750], [0.808, 0.192, 0.250], [0.808, 0.616, 0.250]], "formation_enthalpy_0k_ev_per_atom": -0.82, "relative_energy_mev_per_atom": 129, "magnetic_moment_mub_per_atom": 0.000}